1.
Here is Ca2ZnTe after structural relaxation from the Alexandria database. Energies are from GGA-PBE.

Results
formation energy from raw total energies = -259 meV per atom
SG = F-43m, No. 216

Unit cell a=5.464 b=5.464 c=5.464 alpha=60.00 beta=60.00 gamma=60.00
Fractional positions:
Zn: 0.750 0.750 0.750
Te: 0.500 0.500 0.500
Ca: 0.000 0.000 0.000
Ca: 0.250 0.250 0.250

---

2.
Here is MgWBr2 after structural relaxation from the Alexandria database. Energies are from GGA-PBE.

Results
formation energy from raw total energies = 620 meV per atom
SG = Pmmm, No. 47

Unit cell a=3.172 b=6.102 c=4.516 alpha=90.00 beta=90.00 gamma=90.00
Each line ends with the local moment (μB).
Fractional positions:
Br: 0.000 0.000 0.000  0.05
Br: 0.500 0.500 0.000  0.00
Mg: 0.500 0.000 0.500  -0.02
W: 0.000 0.500 0.500  1.58

---

3.
Here is Co2SbRh after structural relaxation from the Alexandria database. Energies are from GGA-PBE.

Results
formation energy from raw total energies = 116 meV per atom
SG = Pmm2, No. 25

Unit cell a=4.254 b=2.966 c=4.540 alpha=89.98 beta=90.00 gamma=90.00
Each line ends with the local moment (μB).
Fractional positions:
Co: 0.000 0.875 0.066  1.55
Co: 0.500 0.375 0.188  1.31
Rh: 0.000 0.375 0.541  0.28
Sb: 0.500 0.875 0.705  -0.02

---

4.
Here is Y2GePt9 after structural relaxation from the Alexandria database. Energies are from GGA-PBE.

Results
SG = P4/mmm, No. 123
DFT formation energy = -0.74 eV per atom

Unit cell a=4.096 b=4.096 c=12.128 alpha=90.00 beta=90.00 gamma=90.00
Fractional positions:
Y: 0.000 0.000 0.330
Y: 0.000 0.000 0.670
Ge: 0.000 0.000 0.000
Pt: 0.500 0.500 0.000
Pt: 0.500 0.500 0.326
Pt: 0.500 0.500 0.674
Pt: 0.500 0.000 0.155
Pt: 0.500 0.000 0.500
Pt: 0.500 0.000 0.845
Pt: 0.000 0.500 0.155
Pt: 0.000 0.500 0.500
Pt: 0.000 0.500 0.845

---

5.
Here is Tb2Zn3Pt after structural relaxation from the Alexandria database. Energies are from GGA-PBE.

Results
SG = Fmmm, No. 69
DFT formation energy = -0.64 eV per atom

Unit cell a=5.698 b=5.698 c=8.893 alpha=113.32 beta=113.32 gamma=76.37
Fractional positions:
Tb: 0.750 0.250 0.500
Tb: 0.742 0.258 0.000
Tb: 0.250 0.750 0.500
Tb: 0.258 0.742 0.000
Zn: 0.835 0.835 0.165
Zn: 0.670 0.670 0.835
Zn: 0.165 0.165 0.835
Zn: 0.330 0.330 0.165
Zn: 0.165 0.165 0.330
Zn: 0.835 0.835 0.670
Pt: 0.666 0.666 0.331
Pt: 0.334 0.334 0.669

---

6.
Here is Ba2GeI after structural relaxation from the Alexandria database. Energies are from GGA-PBE.

Results
formation energy from raw total energies = -947 meV per atom
SG = R-3m, No. 166

Unit cell a=4.836 b=4.836 c=9.147 alpha=74.67 beta=74.67 gamma=60.00
Each line ends with the local moment (μB).
Fractional positions:
I: 0.500 0.500 0.500  0.00
Ge: 0.000 0.000 0.000  0.32
Ba: 0.262 0.262 0.214  0.07
Ba: 0.738 0.738 0.786  0.07

---

7.
Here is Dy5Tm2Sb5 after structural relaxation from the Alexandria database. Energies are from GGA-PBE.

Results
formation energy from raw total energies = -831 meV per atom
SG = C2/m, No. 12

Unit cell a=4.338 b=7.428 c=12.482 alpha=109.62 beta=90.00 gamma=106.98
Fractional positions:
Dy: 0.500 0.000 0.500
Dy: 0.661 0.321 0.034
Dy: 0.721 0.442 0.343
Dy: 0.279 0.558 0.657
Dy: 0.339 0.679 0.966
Tm: 0.048 0.096 0.788
Tm: 0.952 0.904 0.212
Sb: 0.117 0.234 0.430
Sb: 0.695 0.390 0.788
Sb: 0.305 0.610 0.212
Sb: 0.883 0.766 0.570
Sb: 0.000 0.000 0.000

---

Number 1: Fermi-level density of states 2.28 states/eV per cell, spin magnetization 0.000 μB/atom, calculated volume 115 Å³/cell. Number 2: Fermi-level density of states 3.15 states/eV per cell, spin magnetization 0.518 μB/atom, calculated volume 87 Å³/cell. Number 3: Fermi-level density of states 5.17 states/eV per cell, spin magnetization 0.757 μB/atom, calculated volume 57 Å³/cell. Number 4: Fermi-level density of states 10.74 states/eV per cell, spin magnetization 0.000 μB/atom, calculated volume 203 Å³/cell. Number 5: Fermi-level density of states 8.72 states/eV per cell, spin magnetization 0.000 μB/atom, calculated volume 242 Å³/cell. Number 6: Fermi-level density of states 3.17 states/eV per cell, spin magnetization 0.257 μB/atom, calculated volume 176 Å³/cell. Number 7: Fermi-level density of states 7.90 states/eV per cell, spin magnetization 0.000 μB/atom, calculated volume 360 Å³/cell.